1.
V6Ge2P | PBE-GGA | relaxed

Its formation energy is -0.2387 eV/atom. As for the size of the total moment: 0.00 μB per cell. As for the volume: 14.18 A^3/atom.

The structure in CIF format:
```
data_V6Ge2P
_space_group_name_H-M_alt 'P 1 21/c 1'
_space_group_IT_number 14
_space_group_name_Hall '-P 2ybc'
_cell_length_a 5.1239
_cell_length_b 6.0996
_cell_length_c 9.6192
_cell_angle_alpha 90.00
_cell_angle_beta 121.88
_cell_angle_gamma 90.00
loop_
_atom_site_label
_atom_site_type_symbol
_atom_site_fract_x
_atom_site_fract_y
_atom_site_fract_z
V1 V 0.0853 0.1963 0.4634
V2 V 0.2944 0.6510 0.4742
V3 V 0.3603 0.0109 0.2295
Ge1 Ge 0.1529 0.1150 0.7467
P1 P 0.5000 0.0000 0.5000
```


2.
GePW3 | PBE-GGA | relaxed

Its formation energy is 1.0339 eV/atom. As for the size of the total moment: 0.00 μB per cell. The offset from the most stable computed form is 0 meV per atom. As for the volume: 17.72 A^3/atom.

The structure in CIF format:
```
data_GePW3
_space_group_name_H-M_alt 'P m -3 m'
_space_group_IT_number 221
_space_group_name_Hall '-P 4 2 3'
_cell_length_a 4.4582
_cell_length_b 4.4582
_cell_length_c 4.4582
_cell_angle_alpha 90.00
_cell_angle_beta 90.00
_cell_angle_gamma 90.00
loop_
_atom_site_label
_atom_site_type_symbol
_atom_site_fract_x
_atom_site_fract_y
_atom_site_fract_z
Ge1 Ge 0.0000 0.0000 0.0000
P1 P 0.5000 0.5000 0.5000
W1 W 0.0000 0.5000 0.5000
```


3.
GePW2 | PBE-GGA | relaxed

Its formation energy is 0.1975 eV/atom. As for the size of the total moment: 0.00 μB per cell. The offset from the most stable computed form is 0 meV per atom. As for the volume: 14.60 A^3/atom.

The structure in CIF format:
```
data_GePW2
_space_group_name_H-M_alt 'F m -3 m'
_space_group_IT_number 225
_space_group_name_Hall '-F 4 2 3'
_cell_length_a 6.1582
_cell_length_b 6.1582
_cell_length_c 6.1582
_cell_angle_alpha 90.00
_cell_angle_beta 90.00
_cell_angle_gamma 90.00
loop_
_atom_site_label
_atom_site_type_symbol
_atom_site_fract_x
_atom_site_fract_y
_atom_site_fract_z
Ge1 Ge 0.0000 0.0000 0.0000
P1 P 0.0000 0.0000 0.5000
W1 W 0.2500 0.2500 0.2500
```


4.
GeP3W | PBE-GGA | relaxed

Its formation energy is 0.6623 eV/atom. As for the size of the total moment: 0.00 μB per cell. The offset from the most stable computed form is 0 meV per atom. As for the volume: 21.06 A^3/atom.

The structure in CIF format:
```
data_GeP3W
_space_group_name_H-M_alt 'P m -3 m'
_space_group_IT_number 221
_space_group_name_Hall '-P 4 2 3'
_cell_length_a 4.7220
_cell_length_b 4.7220
_cell_length_c 4.7220
_cell_angle_alpha 90.00
_cell_angle_beta 90.00
_cell_angle_gamma 90.00
loop_
_atom_site_label
_atom_site_type_symbol
_atom_site_fract_x
_atom_site_fract_y
_atom_site_fract_z
Ge1 Ge 0.0000 0.0000 0.0000
P1 P 0.0000 0.5000 0.5000
W1 W 0.5000 0.5000 0.5000
```


5.
GeP2W2 | PBE-GGA | relaxed

Its formation energy is 0.1206 eV/atom. As for the size of the total moment: 0.00 μB per cell. The offset from the most stable computed form is 46 meV per atom. As for the volume: 15.14 A^3/atom.

The structure in CIF format:
```
data_GeP2W2
_space_group_name_H-M_alt 'I 4/m m m'
_space_group_IT_number 139
_space_group_name_Hall '-I 4 2'
_cell_length_a 3.4361
_cell_length_b 3.4361
_cell_length_c 12.8208
_cell_angle_alpha 90.00
_cell_angle_beta 90.00
_cell_angle_gamma 90.00
loop_
_atom_site_label
_atom_site_type_symbol
_atom_site_fract_x
_atom_site_fract_y
_atom_site_fract_z
Ge1 Ge 0.0000 0.0000 0.0000
P1 P 0.0000 0.5000 0.2500
W1 W 0.0000 0.0000 0.3860
```


6.
GeP3W | PBE-GGA | relaxed

Its formation energy is 1.6111 eV/atom. As for the size of the total moment: 0.00 μB per cell. The offset from the most stable computed form is 949 meV per atom. As for the volume: 18.41 A^3/atom.

The structure in CIF format:
```
data_GeP3W
_space_group_name_H-M_alt 'P m -3 m'
_space_group_IT_number 221
_space_group_name_Hall '-P 4 2 3'
_cell_length_a 4.5154
_cell_length_b 4.5154
_cell_length_c 4.5154
_cell_angle_alpha 90.00
_cell_angle_beta 90.00
_cell_angle_gamma 90.00
loop_
_atom_site_label
_atom_site_type_symbol
_atom_site_fract_x
_atom_site_fract_y
_atom_site_fract_z
Ge1 Ge 0.0000 0.0000 0.0000
P1 P 0.0000 0.0000 0.5000
W1 W 0.5000 0.5000 0.5000
```


7.
GePW2 | PBE-GGA | relaxed

Its formation energy is 0.5114 eV/atom. As for the size of the total moment: 0.00 μB per cell. The offset from the most stable computed form is 314 meV per atom. As for the volume: 16.55 A^3/atom.

The structure in CIF format:
```
data_GePW2
_space_group_name_H-M_alt 'I -4 2 d'
_space_group_IT_number 122
_space_group_name_Hall 'I -4 2bw'
_cell_length_a 3.8670
_cell_length_b 3.8670
_cell_length_c 17.7065
_cell_angle_alpha 90.00
_cell_angle_beta 90.00
_cell_angle_gamma 90.00
loop_
_atom_site_label
_atom_site_type_symbol
_atom_site_fract_x
_atom_site_fract_y
_atom_site_fract_z
Ge1 Ge 0.0000 0.0000 0.0000
P1 P 0.0000 0.0000 0.5000
W1 W 0.2348 0.2500 0.6250
```


8.
Ge2PW | PBE-GGA | relaxed

Its formation energy is 0.8418 eV/atom. As for the size of the total moment: 4.97 μB per cell. As for the volume: 22.81 A^3/atom.

The structure in CIF format:
```
data_Ge2PW
_space_group_name_H-M_alt 'I -4 2 d'
_space_group_IT_number 122
_space_group_name_Hall 'I -4 2bw'
_cell_length_a 5.8010
_cell_length_b 5.8010
_cell_length_c 10.8431
_cell_angle_alpha 90.00
_cell_angle_beta 90.00
_cell_angle_gamma 90.00
loop_
_atom_site_label
_atom_site_type_symbol
_atom_site_fract_x
_atom_site_fract_y
_atom_site_fract_z
Ge1 Ge 0.2379 0.2500 0.1250
P1 P 0.0000 0.0000 0.0000
W1 W 0.0000 0.0000 0.5000
```


9.
GeP2W2 | PBE-GGA | relaxed

Its formation energy is 0.0748 eV/atom. As for the size of the total moment: 0.00 μB per cell. The offset from the most stable computed form is 0 meV per atom. As for the volume: 15.19 A^3/atom.

The structure in CIF format:
```
data_GeP2W2
_space_group_name_H-M_alt 'P 4/m b m'
_space_group_IT_number 127
_space_group_name_Hall '-P 4 2ab'
_cell_length_a 7.0058
_cell_length_b 7.0058
_cell_length_c 3.0944
_cell_angle_alpha 90.00
_cell_angle_beta 90.00
_cell_angle_gamma 90.00
loop_
_atom_site_label
_atom_site_type_symbol
_atom_site_fract_x
_atom_site_fract_y
_atom_site_fract_z
Ge1 Ge 0.0000 0.0000 0.0000
P1 P 0.1380 0.3620 0.5000
W1 W 0.1504 0.6504 0.0000
```


10.
YGe3P | PBE-GGA | relaxed

Its formation energy is 0.2033 eV/atom. As for the size of the total moment: 0.00 μB per cell. The offset from the most stable computed form is 0 meV per atom. As for the volume: 22.50 A^3/atom.

The structure in CIF format:
```
data_YGe3P
_space_group_name_H-M_alt 'P m -3 m'
_space_group_IT_number 221
_space_group_name_Hall '-P 4 2 3'
_cell_length_a 4.8271
_cell_length_b 4.8271
_cell_length_c 4.8271
_cell_angle_alpha 90.00
_cell_angle_beta 90.00
_cell_angle_gamma 90.00
loop_
_atom_site_label
_atom_site_type_symbol
_atom_site_fract_x
_atom_site_fract_y
_atom_site_fract_z
Y1 Y 0.0000 0.0000 0.0000
Ge1 Ge 0.0000 0.5000 0.5000
P1 P 0.5000 0.5000 0.5000
```


11.
Y2GeP2 | PBE-GGA | relaxed

Its formation energy is -0.9725 eV/atom. As for the size of the total moment: 0.00 μB per cell. As for the volume: 21.03 A^3/atom.

The structure in CIF format:
```
data_Y2GeP2
_space_group_name_H-M_alt 'P 4/m b m'
_space_group_IT_number 127
_space_group_name_Hall '-P 4 2ab'
_cell_length_a 7.4304
_cell_length_b 7.4304
_cell_length_c 3.8095
_cell_angle_alpha 90.00
_cell_angle_beta 90.00
_cell_angle_gamma 90.00
loop_
_atom_site_label
_atom_site_type_symbol
_atom_site_fract_x
_atom_site_fract_y
_atom_site_fract_z
Y1 Y 0.1586 0.3414 0.0000
Ge1 Ge 0.0000 0.0000 0.5000
P1 P 0.1500 0.6500 0.5000
```


12.
YGe3P | PBE-GGA | relaxed

Its formation energy is 1.1676 eV/atom. As for the size of the total moment: 0.00 μB per cell. The offset from the most stable computed form is 964 meV per atom. As for the volume: 31.21 A^3/atom.

The structure in CIF format:
```
data_YGe3P
_space_group_name_H-M_alt 'P m -3 m'
_space_group_IT_number 221
_space_group_name_Hall '-P 4 2 3'
_cell_length_a 5.3836
_cell_length_b 5.3836
_cell_length_c 5.3836
_cell_angle_alpha 90.00
_cell_angle_beta 90.00
_cell_angle_gamma 90.00
loop_
_atom_site_label
_atom_site_type_symbol
_atom_site_fract_x
_atom_site_fract_y
_atom_site_fract_z
Y1 Y 0.0000 0.0000 0.0000
Ge1 Ge 0.0000 0.0000 0.5000
P1 P 0.5000 0.5000 0.5000
```